Entry 1:
The following is a DFT calculation (PBE-GGA) of a relaxed HoBe crystal.

Calculated values
Calculated total energy   -4.070 eV/atom
ΔE to the lowest computed polymorph   0.00 eV per formula unit
Magnetization   0.0001 μB per atom
Formation energy   0.082 eV/atom

abc: 3.4758 4.0041 6.0185
angles: 90.00 106.72 90.00
Closest atoms and distances in Å follow each position.
Positions (direct):
Be: 0.9518 0.2500 0.9045  2 Be 2.28
Be: 0.0482 0.7500 0.0955  2 Be 2.28
Ho: 0.6465 0.2500 0.2931  6 Be 2.83-2.89
Ho: 0.3535 0.7500 0.7069  6 Be 2.83-2.89

---

Entry 2:
The following is a DFT calculation (PBE-GGA) of a relaxed HoBe13 crystal.

Calculated values
Calculated total energy   -3.985 eV/atom
Magnetization   0.0000 μB per atom
Formation energy   -0.198 eV/atom

abc: 7.1862 7.1862 7.1862
angles: 60.00 60.00 60.00
Closest atoms and distances in Å follow each position.
Positions (direct):
Be: 0.5000 0.5000 0.5000  12 Be 2.14
Be: 0.0000 0.0000 0.0000  12 Be 2.14
Be: 0.4370 0.5630 0.2093  10 Be 2.14-2.31
Be: 0.2093 0.7907 0.4370  10 Be 2.14-2.31
Be: 0.7907 0.2093 0.5630  10 Be 2.14-2.31
Be: 0.5630 0.4370 0.7907  10 Be 2.14-2.31
Be: 0.5630 0.7907 0.2093  10 Be 2.14-2.31
Be: 0.7907 0.5630 0.4370  10 Be 2.14-2.31
Be: 0.2093 0.4370 0.5630  10 Be 2.14-2.31
Be: 0.4370 0.2093 0.7907  10 Be 2.14-2.31
Be: 0.7907 0.4370 0.2093  10 Be 2.14-2.31
Be: 0.5630 0.2093 0.4370  10 Be 2.14-2.31
Be: 0.4370 0.7907 0.5630  10 Be 2.14-2.31
Be: 0.2093 0.5630 0.7907  10 Be 2.14-2.31
Be: 0.2907 0.9370 0.0630  10 Be 2.14-2.31
Be: 0.0630 0.7093 0.2907  10 Be 2.14-2.31
Be: 0.9370 0.2907 0.7093  10 Be 2.14-2.31
Be: 0.7093 0.0630 0.9370  10 Be 2.14-2.31
Be: 0.2907 0.7093 0.9370  10 Be 2.14-2.31
Be: 0.0630 0.9370 0.7093  10 Be 2.14-2.31
Be: 0.9370 0.0630 0.2907  10 Be 2.14-2.31
Be: 0.7093 0.2907 0.0630  10 Be 2.14-2.31
Be: 0.2907 0.0630 0.7093  10 Be 2.14-2.31
Be: 0.0630 0.2907 0.9370  10 Be 2.14-2.31
Be: 0.9370 0.7093 0.0630  10 Be 2.14-2.31
Be: 0.7093 0.9370 0.2907  10 Be 2.14-2.31
Ho: 0.7500 0.7500 0.7500  24 Be 2.99
Ho: 0.2500 0.2500 0.2500  24 Be 2.99

---

Entry 3:
The following is a DFT calculation (PBE-GGA) of a relaxed Ho4BeI5 crystal.

Calculated values
Formation energy from raw total energies   -9.35 eV/f.u.
Calculated total energy   -3.914 eV/atom
Magnetization   0.0000 μB per atom

abc: 4.0474 8.7981 9.7633
angles: 102.31 101.96 90.00
Closest atoms and distances in Å follow each position.
Positions (direct):
Ho: 0.6406 0.0721 0.2812  1 Be 2.62
Ho: 0.9995 0.2071 0.9989  2 Be 2.72
Ho: 0.3594 0.9279 0.7188  1 Be 2.62
Ho: 0.0005 0.7929 0.0011  2 Be 2.72
Be: 0.5000 0.0000 0.0000  6 Ho 2.62-2.72
I: 0.1664 0.3422 0.3328  3 Ho 3.08-3.15
I: 0.1745 0.8283 0.3489  4 Ho 3.12-3.45
I: 0.8255 0.1717 0.6511  4 Ho 3.12-3.45
I: 0.5000 0.5000 0.0000  4 Ho 3.27
I: 0.8336 0.6578 0.6672  3 Ho 3.08-3.15

---

Entry 4:
The following is a DFT calculation (PBE-GGA) of a relaxed HoBeI crystal.

Calculated values
Formation energy from raw total energies   -1.33 eV/f.u.
Calculated total energy   -3.728 eV/atom
Magnetization   0.0000 μB per atom

abc: 4.1767 3.9628 11.6097
angles: 90.00 100.36 90.00
Closest atoms and distances in Å follow each position.
Positions (direct):
Be: 0.4866 0.7500 0.9732  2 Be 2.07
Be: 0.5134 0.2500 0.0268  2 Be 2.07
I: 0.8337 0.7500 0.6673  2 Ho 3.01
I: 0.1663 0.2500 0.3327  2 Ho 3.01
Ho: 0.9327 0.2500 0.8655  2 Be 2.78, 2 I 3.01
Ho: 0.0673 0.7500 0.1345  2 Be 2.78, 2 I 3.01

---

Entry 5:
The following is a DFT calculation (PBE-GGA) of a relaxed HoBeIn crystal.

Calculated values
Calculated total energy   -3.900 eV/atom
ΔE to the lowest computed polymorph   0.00 eV per formula unit
Magnetization   0.0000 μB per atom
Formation energy   -0.219 eV/atom

abc: 4.4636 7.6067 7.2156
angles: 90.00 90.00 90.00
Closest atoms and distances in Å follow each position.
Positions (direct):
In: 0.7500 0.0871 0.7094  3 Be 2.58-2.59
In: 0.2500 0.5871 0.7906  3 Be 2.58-2.59
In: 0.2500 0.9129 0.2906  3 Be 2.58-2.59
In: 0.7500 0.4129 0.2094  3 Be 2.58-2.59
Be: 0.7500 0.0848 0.2992  3 In 2.58-2.59
Be: 0.2500 0.5848 0.2008  3 In 2.58-2.59
Be: 0.2500 0.9152 0.7008  3 In 2.58-2.59
Be: 0.7500 0.4152 0.7992  3 In 2.58-2.59
Ho: 0.7500 0.7201 0.5065  6 Be 3.02-3.30, 6 In 3.09-3.19
Ho: 0.2500 0.2201 0.9935  6 Be 3.02-3.30, 6 In 3.09-3.19
Ho: 0.2500 0.2799 0.4935  6 Be 3.02-3.30, 6 In 3.09-3.19
Ho: 0.7500 0.7799 0.0065  6 Be 3.02-3.30, 6 In 3.09-3.19

---

Entry 6:
The following is a DFT calculation (PBE-GGA) of a relaxed Ho2BeIn crystal.

Calculated values
Calculated total energy   -4.101 eV/atom
ΔE to the lowest computed polymorph   0.00 eV per formula unit
Magnetization   0.0000 μB per atom
Formation energy   -0.196 eV/atom

abc: 3.5020 3.5020 7.4117
angles: 90.00 90.00 90.00
Closest atoms and distances in Å follow each position.
Positions (direct):
Be: 0.5000 0.5000 0.0000  8 Ho 2.96
Ho: 0.0000 0.0000 0.7817  4 Be 2.96, 1 Ho 3.24, 4 In 3.24
Ho: 0.0000 0.0000 0.2183  4 Be 2.96, 1 Ho 3.24, 4 In 3.24
In: 0.5000 0.5000 0.5000  8 Ho 3.24, 4 In 3.50

---

Entry 7:
The following is a DFT calculation (PBE-GGA) of a relaxed Ho2BeIn crystal.

Calculated values
Calculated total energy   -4.024 eV/atom
ΔE to the lowest computed polymorph   0.31 eV per formula unit
Magnetization   0.0000 μB per atom
Formation energy   -0.119 eV/atom

abc: 5.0898 5.0898 5.0898
angles: 60.00 60.00 60.00
Closest atoms and distances in Å follow each position.
Positions (direct):
Be: 0.5000 0.5000 0.5000  8 Ho 3.12
Ho: 0.2500 0.2500 0.2500  4 In 3.12, 4 Be 3.12
Ho: 0.7500 0.7500 0.7500  4 In 3.12, 4 Be 3.12
In: 0.0000 0.0000 0.0000  8 Ho 3.12

---

Entry 8:
The following is a DFT calculation (PBE-GGA) of a relaxed LiHoBeIn crystal.

Calculated values
Calculated total energy   -3.375 eV/atom
Magnetization   0.0000 μB per atom
Formation energy   -0.136 eV/atom

abc: 4.6514 4.6514 4.6514
angles: 60.00 60.00 60.00
Closest atoms and distances in Å follow each position.
Positions (direct):
Be: 0.5000 0.5000 0.5000  4 In 2.85, 4 Ho 2.85
Li: 0.0000 0.0000 0.0000  4 Ho 2.85, 4 In 2.85
Ho: 0.7500 0.7500 0.7500  4 Li 2.85, 4 Be 2.85
In: 0.2500 0.2500 0.2500  4 Li 2.85, 4 Be 2.85

---

Which of these has the highest calculated total energy?
LiHoBeIn

---

calculated total energy of number 7 (Ho2BeIn)?
-4.024 eV/atom

---

What is the formula in the sixth record?
Ho2BeIn

---

calculated total energy of number 5 (HoBeIn)?
-3.900 eV/atom